Arrangement one

Compound: FeHg2Os
Source: the Alexandria database
Functional: GGA-PBE
Structure: optimized geometry

Summary:
The calculation puts the density of states at the Fermi level at 2.67 states/eV/f.u. The magnetization is 0.98 μB/atom.

```
FeHg2Os
1.0
-0.588 -2.861 -2.978
-0.716 -2.803 2.835
-3.945 0.911 -0.096
Fe Hg Os
1 2 1
direct
0.500 0.000 0.500
0.000 0.000 0.000
0.000 0.500 0.500
0.500 0.500 0.000
```

***

Arrangement two

Compound: FeHg2Os
Source: the Alexandria database
Functional: GGA-PBE
Structure: optimized geometry

Summary:
The calculation puts the density of states at the Fermi level at 3.45 states/eV/f.u. The magnetization is 0.82 μB/atom.

```
FeHg2Os
1.0
-3.494 3.506 0.476
-3.234 2.184 3.082
2.795 3.825 1.661
Fe Hg Os
1 2 1
direct
0.250 0.250 0.250
0.999 0.999 0.003
0.501 0.501 0.497
0.750 0.750 0.750
```

***

arrangement one comes first in stability; the runner-up is 20 meV/atom higher.